*i*
# AcTbZr PBE relaxed
# Density ... 8.20 g/cm3
data_AcTbZr
_chemical_formula_sum 'Ac2 Tb2 Zr2'
_symmetry_space_group_name_H-M 'I 4 m m'
_symmetry_Int_Tables_number 107
_symmetry_space_group_name_Hall 'I 4 -2'
_cell_length_a 3.535
_cell_length_b 3.535
_cell_length_c 15.458
_cell_angle_alpha 90.00
_cell_angle_beta 90.00
_cell_angle_gamma 90.00
loop_
_atom_site_label
_atom_site_fract_x
_atom_site_fract_y
_atom_site_fract_z
Ac1 0.000 0.000 0.000
Tb1 0.000 0.000 0.693
Zr1 0.000 0.000 0.334

*ii*
# AcTbZr PBE relaxed
# Density ... 8.27 g/cm3
data_AcTbZr
_chemical_formula_sum 'Ac1 Tb1 Zr1'
_symmetry_space_group_name_H-M 'P 3 m 1'
_symmetry_Int_Tables_number 156
_cell_length_a 3.5898
_cell_length_b 3.5898
_cell_length_c 8.5803
_cell_angle_alpha 90.00
_cell_angle_beta 90.00
_cell_angle_gamma 120.00
loop_
_symmetry_equiv_pos_as_xyz
'x,y,z'
'-y,x-y,z'
'-x+y,-x,z'
'-y,-x,z'
'-x+y,y,z'
'x,x-y,z'
loop_
_atom_site_label
_atom_site_fract_x
_atom_site_fract_y
_atom_site_fract_z
Ac1 0.0000 0.0000 0.0000
Tb1 0.3333 0.6667 0.6265
Zr1 0.6667 0.3333 0.3248

*iii*
# AcTbZr PBE relaxed
# Density ... 7.96 g/cm3
data_AcTbZr
_chemical_formula_sum 'Ac2 Tb2 Zr2'
_symmetry_space_group_name_H-M 'P 4/n m m'
_symmetry_Int_Tables_number 129
_cell_length_a 3.875
_cell_length_b 3.875
_cell_length_c 13.263
_cell_angle_alpha 90.00
_cell_angle_beta 90.00
_cell_angle_gamma 90.00
loop_
_symmetry_equiv_pos_as_xyz
'x,y,z'
'-x,-y,-z'
'-y+1/2,x,z'
'y+1/2,-x,-z'
'-x+1/2,-y+1/2,z'
'x+1/2,y+1/2,-z'
'y,-x+1/2,z'
'-y,x+1/2,-z'
'x+1/2,-y,-z'
'-x+1/2,y,z'
'-y,-x,-z'
'y,x,z'
'-x,y+1/2,-z'
'x,-y+1/2,z'
'y+1/2,x+1/2,-z'
'-y+1/2,-x+1/2,z'
loop_
_atom_site_label
_atom_site_fract_x
_atom_site_fract_y
_atom_site_fract_z
Ac1 0.250 0.250 0.109
Tb1 0.250 0.250 0.693
Zr1 0.250 0.250 0.452

Stability, lowest: *ii*

*i*
# Ac4Tc PBE relaxed
# Density ... 8.09 g/cm3
data_Ac4Tc
_chemical_formula_sum 'Ac32 Tc8'
_symmetry_space_group_name_H-M 'F d d 2'
_symmetry_Int_Tables_number 43
_symmetry_space_group_name_Hall 'F 2 -2d'
_cell_length_a 13.919
_cell_length_b 14.285
_cell_length_c 8.310
_cell_angle_alpha 90.00
_cell_angle_beta 90.00
_cell_angle_gamma 90.00
loop_
_atom_site_label
_atom_site_fract_x
_atom_site_fract_y
_atom_site_fract_z
Ac1 0.122 0.080 0.000
Ac2 0.122 0.084 0.497
Tc1 0.000 0.000 0.231

*ii*
# Ac4Tc PBE relaxed
# Density ... 8.40 g/cm3
data_Ac4Tc
_chemical_formula_sum 'Ac4 Tc1'
_symmetry_space_group_name_H-M 'P m -3 m'
_symmetry_Int_Tables_number 221
_symmetry_space_group_name_Hall '-P 4 2 3'
_cell_length_a 5.838
_cell_length_b 5.838
_cell_length_c 5.838
_cell_angle_alpha 90.00
_cell_angle_beta 90.00
_cell_angle_gamma 90.00
loop_
_atom_site_label
_atom_site_fract_x
_atom_site_fract_y
_atom_site_fract_z
Ac1 0.000 0.000 0.000
Ac2 0.000 0.500 0.500
Tc1 0.500 0.500 0.500

Stability, lowest: *ii*

*i*
# AcTm3Tc PBE relaxed
# Density ... 8.70 g/cm3
data_AcTm3Tc
_chemical_formula_sum 'Ac1 Tm3 Tc1'
_symmetry_space_group_name_H-M 'P m -3 m'
_symmetry_Int_Tables_number 221
_symmetry_space_group_name_Hall '-P 4 2 3'
_cell_length_a 5.415
_cell_length_b 5.415
_cell_length_c 5.415
_cell_angle_alpha 90.00
_cell_angle_beta 90.00
_cell_angle_gamma 90.00
loop_
_atom_site_label
_atom_site_fract_x
_atom_site_fract_y
_atom_site_fract_z
Ac1 0.000 0.000 0.000
Tm1 0.000 0.500 0.500
Tc1 0.500 0.500 0.500

*ii*
# AcTm3Tc PBE relaxed
# Density ... 8.92 g/cm3
data_AcTm3Tc
_chemical_formula_sum 'Ac2 Tm6 Tc2'
_symmetry_space_group_name_H-M 'P m m n'
_symmetry_Int_Tables_number 59
_cell_length_a 4.173
_cell_length_b 8.691
_cell_length_c 8.541
_cell_angle_alpha 90.00
_cell_angle_beta 90.00
_cell_angle_gamma 90.00
loop_
_symmetry_equiv_pos_as_xyz
'x,y,z'
'-x,-y,-z'
'-x+1/2,-y+1/2,z'
'x+1/2,y+1/2,-z'
'x+1/2,-y,-z'
'-x+1/2,y,z'
'-x,y+1/2,-z'
'x,-y+1/2,z'
loop_
_atom_site_label
_atom_site_fract_x
_atom_site_fract_y
_atom_site_fract_z
Ac1 0.250 0.250 0.049
Tm1 0.250 0.557 0.650
Tm2 0.250 0.750 0.305
Tc1 0.250 0.250 0.478

Stability, lowest: *i*

*i*
# AcZr2Tc PBE relaxed
# Density ... 8.27 g/cm3
data_AcZr2Tc
_chemical_formula_sum 'Ac3 Zr6 Tc3'
_symmetry_space_group_name_H-M 'R -3 m'
_symmetry_Int_Tables_number 166
_symmetry_space_group_name_Hall '-R 3 2"'
_cell_length_a 3.3441
_cell_length_b 3.3441
_cell_length_c 31.5529
_cell_angle_alpha 90.00
_cell_angle_beta 90.00
_cell_angle_gamma 120.00
loop_
_atom_site_label
_atom_site_fract_x
_atom_site_fract_y
_atom_site_fract_z
Ac1 0.0000 0.0000 0.0000
Zr1 0.0000 0.0000 0.1052
Tc1 0.0000 0.0000 0.5000

*ii*
# AcZr2Tc PBE relaxed
# Density ... 8.54 g/cm3
data_AcZr2Tc
_chemical_formula_sum 'Ac1 Zr2 Tc1'
_symmetry_space_group_name_H-M 'P 4/m m m'
_symmetry_Int_Tables_number 123
_symmetry_space_group_name_Hall '-P 4 2'
_cell_length_a 3.401
_cell_length_b 3.401
_cell_length_c 8.531
_cell_angle_alpha 90.00
_cell_angle_beta 90.00
_cell_angle_gamma 90.00
loop_
_atom_site_label
_atom_site_fract_x
_atom_site_fract_y
_atom_site_fract_z
Ac1 0.000 0.000 0.000
Zr1 0.500 0.500 0.320
Tc1 0.000 0.000 0.500

Stability, lowest: *i*

*i*
# AcThTe PBE relaxed
# Density ... 9.12 g/cm3
data_AcThTe
_chemical_formula_sum 'Ac2 Th2 Te2'
_symmetry_space_group_name_H-M 'I 4 m m'
_symmetry_Int_Tables_number 107
_symmetry_space_group_name_Hall 'I 4 -2'
_cell_length_a 3.989
_cell_length_b 3.989
_cell_length_c 13.429
_cell_angle_alpha 90.00
_cell_angle_beta 90.00
_cell_angle_gamma 90.00
loop_
_atom_site_label
_atom_site_fract_x
_atom_site_fract_y
_atom_site_fract_z
Ac1 0.000 0.000 0.000
Th1 0.000 0.000 0.291
Te1 0.000 0.000 0.664

*ii*
# AcThTe PBE relaxed
# Density ... 9.09 g/cm3
data_AcThTe
_chemical_formula_sum 'Ac1 Th1 Te1'
_symmetry_space_group_name_H-M 'P 3 m 1'
_symmetry_Int_Tables_number 156
_cell_length_a 5.5265
_cell_length_b 5.5265
_cell_length_c 4.0528
_cell_angle_alpha 90.00
_cell_angle_beta 90.00
_cell_angle_gamma 120.00
loop_
_symmetry_equiv_pos_as_xyz
'x,y,z'
'-y,x-y,z'
'-x+y,-x,z'
'-y,-x,z'
'-x+y,y,z'
'x,x-y,z'
loop_
_atom_site_label
_atom_site_fract_x
_atom_site_fract_y
_atom_site_fract_z
Ac1 0.0000 0.0000 0.0000
Th1 0.3333 0.6667 0.5001
Te1 0.6667 0.3333 0.5015

Stability, lowest: *ii*

*i*
# Ac2ThTe5 PBE relaxed
# Density ... 5.60 g/cm3
data_Ac2ThTe5
_chemical_formula_sum 'Ac8 Th4 Te20'
_symmetry_space_group_name_H-M 'C m c m'
_symmetry_Int_Tables_number 63
_symmetry_space_group_name_Hall '-C 2c 2'
_cell_length_a 6.356
_cell_length_b 15.945
_cell_length_c 15.488
_cell_angle_alpha 90.00
_cell_angle_beta 90.00
_cell_angle_gamma 90.00
loop_
_atom_site_label
_atom_site_fract_x
_atom_site_fract_y
_atom_site_fract_z
Ac1 0.000 0.146 0.062
Th1 0.000 0.195 0.750
Te1 0.000 0.049 0.623
Te2 0.000 0.264 0.250
Te3 0.000 0.308 0.581

*ii*
# Ac2ThTe5 PBE relaxed
# Density ... 7.49 g/cm3
data_Ac2ThTe5
_chemical_formula_sum 'Ac4 Th2 Te10'
_symmetry_space_group_name_H-M 'P b a m'
_symmetry_Int_Tables_number 55
_cell_length_a 9.082
_cell_length_b 13.842
_cell_length_c 4.670
_cell_angle_alpha 90.00
_cell_angle_beta 90.00
_cell_angle_gamma 90.00
loop_
_symmetry_equiv_pos_as_xyz
'x,y,z'
'-x,-y,-z'
'-x,-y,z'
'x,y,-z'
'x+1/2,-y+1/2,-z'
'-x+1/2,y+1/2,z'
'-x+1/2,y+1/2,-z'
'x+1/2,-y+1/2,z'
loop_
_atom_site_label
_atom_site_fract_x
_atom_site_fract_y
_atom_site_fract_z
Ac1 0.036 0.175 0.000
Th1 0.000 0.500 0.500
Te1 0.000 0.000 0.500
Te2 0.173 0.699 0.500
Te3 0.174 0.405 0.000

Stability, lowest: *i*